Here is a relaxed structure of Y2TaS5 from the Alexandria database. Energies are from PBE.

Unit cell a=5.158 b=7.021 c=12.526 alpha=90.00 beta=90.00 gamma=111.55
Fractional coordinates of all 16 atoms:
Y  0.853  0.706  0.437
Y  0.853  0.706  0.063
Y  0.147  0.294  0.563
Y  0.147  0.294  0.937
Ta  0.812  0.624  0.750
Ta  0.188  0.376  0.250
S  0.951  0.902  0.876
S  0.951  0.902  0.624
S  0.307  0.614  0.411
S  0.307  0.614  0.089
S  0.727  0.455  0.250
S  0.273  0.545  0.750
S  0.693  0.386  0.589
S  0.693  0.386  0.911
S  0.049  0.098  0.124
S  0.049  0.098  0.376

Energy relative to the elements, uncorrected (eV per atom): -1.4909
SG: Cmcm

=====

Here is a relaxed structure of LaErGa2Pt2 from the Alexandria database. Energies are from PBE.

Unit cell a=4.500 b=4.500 c=7.229 alpha=90.00 beta=90.00 gamma=120.00
Fractional coordinates of all 6 atoms:
La  0.000  0.000  0.000
Er  0.000  0.000  0.500
Ga  0.667  0.333  0.717
Ga  0.333  0.667  0.283
Pt  0.667  0.333  0.282
Pt  0.333  0.667  0.718

SG: P-3m1
Energy relative to the elements (eV per atom): -1.071

=====

Here is a relaxed structure of TbYErTm3 from the Alexandria database. Energies are from PBE.

Unit cell a=5.671 b=6.511 c=11.242 alpha=90.00 beta=90.00 gamma=115.81
Fractional coordinates of all 12 atoms:
Tb  0.522  0.044  0.750
Tb  0.478  0.956  0.250
Y  0.828  0.656  0.750
Y  0.172  0.344  0.250
Er  0.000  0.000  0.500
Er  0.000  0.000  0.000
Tm  0.671  0.341  0.479
Tm  0.329  0.659  0.521
Tm  0.329  0.659  0.979
Tm  0.671  0.341  0.021
Tm  0.150  0.300  0.750
Tm  0.850  0.700  0.250

SG: Cmcm
Energy relative to the elements (eV per atom): 0.127

=====

Q: What is the formula in the first record?
A: Y2TaS5

=====

Repeat the first record exactly.
Here is a relaxed structure of Y2TaS5 from the Alexandria database. Energies are from PBE.

Unit cell a=5.158 b=7.021 c=12.526 alpha=90.00 beta=90.00 gamma=111.55
Fractional coordinates of all 16 atoms:
Y  0.853  0.706  0.437
Y  0.853  0.706  0.063
Y  0.147  0.294  0.563
Y  0.147  0.294  0.937
Ta  0.812  0.624  0.750
Ta  0.188  0.376  0.250
S  0.951  0.902  0.876
S  0.951  0.902  0.624
S  0.307  0.614  0.411
S  0.307  0.614  0.089
S  0.727  0.455  0.250
S  0.273  0.545  0.750
S  0.693  0.386  0.589
S  0.693  0.386  0.911
S  0.049  0.098  0.124
S  0.049  0.098  0.376

Energy relative to the elements, uncorrected (eV per atom): -1.4909
SG: Cmcm

=====

Please write out number 1 again, unchanged.
Here is a relaxed structure of Y2TaS5 from the Alexandria database. Energies are from PBE.

Unit cell a=5.158 b=7.021 c=12.526 alpha=90.00 beta=90.00 gamma=111.55
Fractional coordinates of all 16 atoms:
Y  0.853  0.706  0.437
Y  0.853  0.706  0.063
Y  0.147  0.294  0.563
Y  0.147  0.294  0.937
Ta  0.812  0.624  0.750
Ta  0.188  0.376  0.250
S  0.951  0.902  0.876
S  0.951  0.902  0.624
S  0.307  0.614  0.411
S  0.307  0.614  0.089
S  0.727  0.455  0.250
S  0.273  0.545  0.750
S  0.693  0.386  0.589
S  0.693  0.386  0.911
S  0.049  0.098  0.124
S  0.049  0.098  0.376

Energy relative to the elements, uncorrected (eV per atom): -1.4909
SG: Cmcm